Model A:
The following is a DFT calculation (PBE-GGA) of a geometry-optimized NaPtBr3 structure.

Lattice parameters (Å, degrees): 5.301 5.301 5.301 90.00 90.00 90.00
Site moments in Bohr magnetons follow the coordinates.
Element x y z (fractional)
Na (0.000, 0.000, 0.000)  0.00
Br (0.000, 0.500, 0.000)  0.35
Br (0.000, 0.000, 0.500)  0.22
Br (0.500, 0.000, 0.000)  0.24
Pt (0.500, 0.500, 0.500)  0.93

Model B:
The following is a DFT calculation (PBE-GGA) of a geometry-optimized NaPtBr3 structure.

Lattice parameters (Å, degrees): 5.216 5.216 5.216 90.00 90.00 90.00
Element x y z (fractional)
Na (0.500, 0.500, 0.500)
Br (0.000, 0.500, 0.000)
Br (0.000, 0.000, 0.500)
Br (0.500, 0.000, 0.000)
Pt (0.000, 0.000, 0.000)

Quick look at relative energies in meV/atom: model A 1045; model B 0.